The following is a DFT calculation (GGA-PBE) of GdAlSnTe3 after structural relaxation.

```
GdAlSnTe3
1.0
2.206 -7.306 0.000
2.206 7.306 0.000
0.000 0.000 11.115
Gd Al Sn Te
2 2 2 6
Direct
0.000 0.000 0.000
0.000 0.000 0.500
0.475 0.525 0.750
0.525 0.475 0.250
0.199 0.801 0.250
0.801 0.199 0.750
0.098 0.902 0.750
0.354 0.646 0.554
0.354 0.646 0.946
0.646 0.354 0.054
0.646 0.354 0.446
0.902 0.098 0.250
```

Computed properties:
- VASP energy (eV/atom) = -4.18